(1)
ScZn2Bi | Alexandria | PBE | optimized geometry; space group = No. 123
1.0
4.290 0.000 0.000
0.000 4.290 0.000
0.000 0.000 4.480
Sc Zn Bi
1 2 1
direct
0.000 0.000 0.000 Sc
0.000 0.500 0.500 Zn
0.500 0.000 0.500 Zn
0.500 0.500 0.000 Bi

=====

(2)
ScZn3Bi | Alexandria | PBE | optimized geometry; space group = No. 221
1.0
5.271 0.000 0.000
0.000 5.271 0.000
0.000 0.000 5.271
Sc Zn Bi
1 3 1
direct
0.000 0.000 0.000 Sc
0.000 0.500 0.500 Zn
0.500 0.000 0.500 Zn
0.500 0.500 0.000 Zn
0.500 0.500 0.500 Bi

=====

(3)
ScZnBi3 | Alexandria | PBE | optimized geometry; space group = No. 221
1.0
5.602 0.000 0.000
0.000 5.602 0.000
0.000 0.000 5.602
Sc Zn Bi
1 1 3
direct
0.000 0.000 0.000 Sc
0.500 0.500 0.500 Zn
0.000 0.000 0.500 Bi
0.000 0.500 0.000 Bi
0.500 0.000 0.000 Bi

=====

(4)
ScZn2Bi2 | Alexandria | PBE | optimized geometry; space group = No. 127
1.0
7.652 0.000 0.000
0.000 7.652 0.000
0.000 0.000 3.963
Sc Zn Bi
2 4 4
direct
0.000 0.000 0.000 Sc
0.500 0.500 0.000 Sc
0.118 0.382 0.000 Zn
0.382 0.882 0.000 Zn
0.618 0.118 0.000 Zn
0.882 0.618 0.000 Zn
0.181 0.681 0.500 Bi
0.319 0.181 0.500 Bi
0.681 0.819 0.500 Bi
0.819 0.319 0.500 Bi

=====

(5)
ScZnBi | Alexandria | PBE | optimized geometry; space group = No. 12
1.0
2.904 -2.538 0.000
2.904 2.538 0.000
-1.509 0.000 9.969
Sc Zn Bi
2 2 2
direct
0.181 0.181 0.197 Sc
0.819 0.819 0.803 Sc
0.298 0.298 0.938 Zn
0.702 0.702 0.062 Zn
0.279 0.279 0.649 Bi
0.721 0.721 0.351 Bi

=====

(6)
ScZn2Bi2 | Alexandria | PBE | optimized geometry; space group = No. 139
1.0
-1.913 1.913 8.628
1.913 -1.913 8.628
1.913 1.913 -8.628
Sc Zn Bi
1 2 2
direct
0.000 0.000 0.000 Sc
0.250 0.750 0.500 Zn
0.750 0.250 0.500 Zn
0.406 0.406 0.000 Bi
0.594 0.594 0.000 Bi

=====

The records above yield DOS at the Fermi energy values of 2.36 5.87 3.52 6.24 2.85 2.26 states/eV/cell, respectively.
The records above yield DFT formation energy values of -0.23 0.77 0.29 -0.07 -0.24 -0.06 eV per atom, respectively.